[1]
In2CuRuPt | meta-GGA SCAN | PBEsol geometry

Calculated values
Energy relative to the elements = 0.8715 eV/atom
D(E_F) = 2.253 states/eV per cell
Calculated density = 7.9 g/cm³

Unit cell a=4.991 b=4.991 c=4.966 alpha=90.00 beta=90.00 gamma=90.00
Space group P4/mmm (No. 123)
Unique sites:
In  0.000  0.500  0.000
Cu  0.000  0.000  0.500
Ru  0.500  0.500  0.500
Pt  0.500  0.500  0.000

[2]
In2CuRe | meta-GGA SCAN | PBEsol geometry

Calculated values
Energy relative to the elements = 0.4955 eV/atom
D(E_F) = 2.392 states/eV per cell
Calculated density = 11.9 g/cm³

Unit cell a=3.349 b=3.349 c=5.955 alpha=90.00 beta=90.00 gamma=90.00
Space group P4/mmm (No. 123)
Unique sites:
In  0.000  0.000  0.248
Cu  0.500  0.500  0.000
Re  0.500  0.500  0.500

[3]
InCuRe3 | meta-GGA SCAN | PBEsol geometry

Calculated values
Energy relative to the elements = 1.9752 eV/atom
D(E_F) = 4.935 states/eV per cell
Calculated density = 13.9 g/cm³

Unit cell a=4.446 b=4.446 c=4.446 alpha=90.00 beta=90.00 gamma=90.00
Space group Pm-3m (No. 221)
Unique sites:
In  0.000  0.000  0.000
Cu  0.500  0.500  0.500
Re  0.000  0.500  0.500